(1)
VASP calculation (PBE) on a geometry-optimized LiLaEuIr structure.

DFT formation energy: -7.73 kcal/mol of atoms
Space group: F-43m, No. 216

The structure in POSCAR format:
```
LiLaEuIr
1.0
0.0000 3.6208 3.6208
3.6208 0.0000 3.6208
3.6208 3.6208 0.0000
Li La Eu Ir
1 1 1 1
Cartesian
0.0000 0.0000 0.0000 Li
1.8104 1.8104 1.8104 La
5.4311 5.4311 5.4311 Eu
3.6208 3.6208 3.6208 Ir
```

=====

(2)
VASP calculation (PBE) on a geometry-optimized NdSi4Rh2 structure.

Formation energy from raw total energies: -0.74 eV/atom
Space group: Pnma, No. 62

The structure in POSCAR format:
```
NdSi4Rh2
1.0
16.8304 0.0000 0.0000
0.0000 4.2118 0.0000
0.0000 0.0000 6.4155
Nd Si Rh
4 16 8
Cartesian
2.3758 1.0530 0.0562 Nd
6.0394 3.1589 3.2640 Nd
10.7910 1.0530 3.1515 Nd
14.4547 3.1589 6.3593 Nd
0.5178 3.1589 0.9067 Si
1.0982 1.0530 3.4412 Si
3.0511 3.1589 4.4299 Si
3.2576 3.1589 1.8763 Si
5.1576 1.0530 5.0840 Si
5.3641 1.0530 1.2222 Si
7.3170 3.1589 0.2334 Si
7.8974 1.0530 4.1145 Si
8.9330 3.1589 2.3010 Si
9.5134 1.0530 6.1821 Si
11.4663 3.1589 5.1933 Si
11.6728 3.1589 1.3315 Si
13.5728 1.0530 4.5392 Si
13.7793 1.0530 1.9856 Si
15.7322 3.1589 2.9743 Si
16.3127 1.0530 5.5088 Si
0.5507 3.1589 4.7812 Rh
3.5510 1.0530 3.1602 Rh
4.8642 3.1589 6.3680 Rh
7.8646 1.0530 1.5734 Rh
8.9659 3.1589 4.8421 Rh
11.9663 1.0530 0.0475 Rh
13.2794 3.1589 3.2553 Rh
16.2798 1.0530 1.6343 Rh
```

=====

(3)
VASP calculation (PBE) on a geometry-optimized Tl8Pd structure.

DFT formation energy: 0.53 kcal/mol of atoms
Space group: I4/mmm, No. 139

The structure in POSCAR format:
```
Tl8Pd
1.0
-5.9116 5.9116 1.8629
5.9116 -5.9116 1.8629
5.9116 5.9116 -1.8629
Tl Pd
8 1
Cartesian
3.9418 0.0000 0.0000 Tl
7.8815 0.0000 0.0000 Tl
0.0000 3.9418 0.0000 Tl
4.2066 4.2066 0.0000 Tl
1.7050 -1.7050 1.8629 Tl
-1.7050 1.7050 1.8629 Tl
1.7050 1.7050 1.8629 Tl
0.0000 7.8815 0.0000 Tl
0.0000 0.0000 0.0000 Pd
```

=====

(4)
VASP calculation (PBE) on a geometry-optimized TiCo structure.

DFT formation energy: -2.74 kcal/mol of atoms
Space group: Fddd, No. 70

The structure in POSCAR format:
```
TiCo
1.0
0.0000 3.8262 4.6179
3.1500 0.0000 4.6179
3.1500 3.8262 0.0000
Ti Co
4 4
Cartesian
2.3625 0.5508 3.4634 Ti
3.9374 2.4639 5.7724 Ti
2.3625 5.1885 3.4634 Ti
3.9374 7.1016 5.7724 Ti
3.5411 2.8696 3.4634 Co
5.1161 4.7827 5.7724 Co
1.1838 2.8696 3.4634 Co
2.7588 4.7827 5.7724 Co
```

=====

(5)
VASP calculation (PBE) on a geometry-optimized TbSi2Ni structure.

Formation energy from raw total energies: -0.80 eV/atom
Space group: Pnma, No. 62

The structure in POSCAR format:
```
TbSi2Ni
1.0
6.7545 0.0000 0.0000
0.0000 3.9255 0.0000
0.0000 0.0000 10.0089
Tb Si Ni
4 8 4
Cartesian
1.0485 0.9814 1.2697 Tb
2.3288 2.9441 6.2742 Tb
4.4257 0.9814 3.7347 Tb
5.7060 2.9441 8.7392 Tb
1.1017 0.9814 8.2775 Si
1.1749 0.9814 4.3041 Si
2.2024 2.9441 9.3085 Si
2.2755 2.9441 3.2731 Si
4.4790 0.9814 6.7359 Si
4.5521 0.9814 0.7004 Si
5.5796 2.9441 5.7049 Si
5.6528 2.9441 1.7314 Si
0.0072 2.9441 3.6975 Ni
3.3701 0.9814 8.7020 Ni
3.3844 2.9441 1.3069 Ni
6.7473 0.9814 6.3114 Ni
```

=====

(6)
VASP calculation (PBE) on a geometry-optimized KCOF3 structure.

Formation energy from raw total energies: -1.99 eV/atom
Space group: P2_1/c, No. 14

The structure in POSCAR format:
```
KCOF3
1.0
5.6295 0.0000 0.0000
0.0000 7.2337 0.0000
-0.1790 0.0000 8.6928
K C O F
4 4 4 12
Cartesian
1.2540 1.1364 1.5204 K
1.1645 2.4805 5.8668 K
4.2859 4.7533 2.8260 K
4.1964 6.0974 7.1724 K
1.3083 5.0804 0.6354 C
1.2188 5.7702 4.9818 C
4.2317 1.4636 3.7111 C
4.1422 2.1533 8.0575 C
0.2018 5.0863 5.1185 O
0.2913 5.7643 0.7721 O
5.1591 1.4694 7.9207 O
5.2486 2.1475 3.5743 O
1.2948 4.3880 8.0977 F
1.3843 6.4626 3.7513 F
1.5181 4.0426 1.6099 F
1.4286 6.8080 5.9564 F
2.4902 5.0459 5.0742 F
2.5797 5.8047 0.7278 F
2.8708 1.4290 7.9651 F
2.9603 2.1878 3.6186 F
4.0218 0.4257 2.7365 F
3.9323 3.1911 7.0829 F
4.0662 0.7711 4.9415 F
4.1557 2.8457 0.5951 F
```